[1]
CeP2Rh2 at its PBEsol-relaxed geometry, computed with SCAN.

The value obtained for the size of the total moment is 0.277 μB/f.u. The value obtained for the formation energy from the elements is -6.213 eV/f.u. The density of states at the Fermi level is 3.7 states/eV/cell.

It has space group P4/nmm (No. 129, origin choice 2), with a = 4.102 Å, b = 4.102 Å, c = 9.395 Å, α = 90.00°, β = 90.00° and γ = 90.00°. The asymmetric unit holds Ce at (0.250, 0.250, 0.243), P at (0.250, 0.250, 0.638), P at (0.250, 0.750, 0.000), Rh at (0.250, 0.250, 0.886) and Rh at (0.250, 0.750, 0.500).

---

[2]
CeP2Ru2 at its PBEsol-relaxed geometry, computed with SCAN.

The value obtained for the size of the total moment is 0.595 μB/f.u. The value obtained for the formation energy from the elements is -5.536 eV/f.u. The density of states at the Fermi level is 5.5 states/eV/cell.

It has space group I4/mmm (No. 139), with a = 4.019 Å, b = 4.019 Å, c = 9.614 Å, α = 90.00°, β = 90.00° and γ = 90.00°. The asymmetric unit holds Ce at (0.000, 0.000, 0.000), P at (0.000, 0.000, 0.376) and Ru at (0.000, 0.500, 0.250).

---

[3]
CeP12Ru4 at its PBEsol-relaxed geometry, computed with SCAN.

The value obtained for the size of the total moment is 0.056 μB/f.u. The value obtained for the formation energy from the elements is -12.984 eV/f.u. The density of states at the Fermi level is 3.2 states/eV/cell.

It has space group Im-3 (No. 204), with a = 8.002 Å, b = 8.002 Å, c = 8.002 Å, α = 90.00°, β = 90.00° and γ = 90.00°. The asymmetric unit holds Ce at (0.000, 0.000, 0.000), P at (0.000, 0.355, 0.145) and Ru at (0.250, 0.250, 0.250).

---

Which value of size of the total moment does entry 3 give?
0.056 μB/f.u.